## La4NdSm5 (PBE-GGA)

Data for an optimized crystal structure of La4NdSm5.

Unit cell a=10.680 b=10.680 c=6.102 alpha=90.00 beta=90.00 gamma=90.00
Atoms (fractional coordinates):
La: 0.048 0.750 0.130
La: 0.250 0.548 0.870
La: 0.250 0.952 0.870
La: 0.452 0.750 0.130
La: 0.548 0.250 0.870
La: 0.750 0.048 0.130
La: 0.750 0.452 0.130
La: 0.952 0.250 0.870
Nd: 0.250 0.250 0.848
Nd: 0.750 0.750 0.152
Sm: 0.089 0.089 0.345
Sm: 0.089 0.411 0.345
Sm: 0.250 0.750 0.500
Sm: 0.411 0.089 0.345
Sm: 0.411 0.411 0.345
Sm: 0.589 0.589 0.655
Sm: 0.589 0.911 0.655
Sm: 0.750 0.250 0.500
Sm: 0.911 0.589 0.655
Sm: 0.911 0.911 0.655

Summary:
Space-group type: P4/nmm, No. 129

---

## La2Nd4Sm (PBE-GGA)

Data for an optimized crystal structure of La2Nd4Sm.

Unit cell a=9.245 b=9.245 c=9.245 alpha=135.97 beta=100.78 gamma=95.39
Atoms (fractional coordinates):
La: 0.000 0.000 0.000
La: 0.473 0.223 0.250
La: 0.500 0.000 0.500
La: 0.527 0.777 0.750
Nd: 0.135 0.642 0.493
Nd: 0.259 0.286 0.526
Nd: 0.259 0.733 0.974
Nd: 0.351 0.358 0.993
Nd: 0.649 0.642 0.007
Nd: 0.741 0.267 0.026
Nd: 0.741 0.714 0.474
Nd: 0.865 0.358 0.507
Sm: 0.000 0.000 0.500
Sm: 0.000 0.500 0.000

Summary:
Space-group type: Imma, No. 74

---

## La2Nd6Sm5 (PBE-GGA)

Data for an optimized crystal structure of La2Nd6Sm5.

Unit cell a=11.994 b=20.915 c=3.685 alpha=90.00 beta=90.00 gamma=90.00
Atoms (fractional coordinates):
La: 0.172 0.218 0.000
La: 0.328 0.718 0.000
La: 0.672 0.282 0.000
La: 0.828 0.782 0.000
Nd: 0.061 0.924 0.000
Nd: 0.077 0.636 0.000
Nd: 0.181 0.374 0.500
Nd: 0.319 0.874 0.500
Nd: 0.423 0.136 0.000
Nd: 0.439 0.424 0.000
Nd: 0.561 0.576 0.000
Nd: 0.577 0.864 0.000
Nd: 0.681 0.126 0.500
Nd: 0.819 0.626 0.500
Nd: 0.923 0.364 0.000
Nd: 0.939 0.076 0.000
Sm: 0.000 0.500 0.500
Sm: 0.088 0.780 0.500
Sm: 0.200 0.056 0.500
Sm: 0.300 0.556 0.500
Sm: 0.412 0.280 0.500
Sm: 0.500 0.000 0.500
Sm: 0.588 0.720 0.500
Sm: 0.700 0.444 0.500
Sm: 0.800 0.944 0.500
Sm: 0.912 0.220 0.500

Summary:
Space-group type: Pbam, No. 55

---

## La4Nd6Sm (PBE-GGA)

Data for an optimized crystal structure of La4Nd6Sm.

Unit cell a=9.799 b=9.799 c=9.799 alpha=139.31 beta=139.31 gamma=58.90
Atoms (fractional coordinates):
La: 0.215 0.215 0.676
La: 0.461 0.785 0.000
La: 0.539 0.539 0.324
La: 0.785 0.461 0.000
Nd: 0.000 0.500 0.500
Nd: 0.004 0.635 0.000
Nd: 0.365 0.365 0.369
Nd: 0.500 0.000 0.500
Nd: 0.635 0.004 0.000
Nd: 0.996 0.996 0.631
Sm: 0.000 0.000 0.000

Summary:
Space-group type: I-42m, No. 121

---

## LaNd6Sm12 (PBE-GGA)

Data for an optimized crystal structure of LaNd6Sm12.

Unit cell a=8.911 b=8.911 c=8.911 alpha=99.14 beta=99.14 gamma=99.14
Atoms (fractional coordinates):
La: 0.000 0.000 0.000
Nd: 0.097 0.097 0.657
Nd: 0.097 0.657 0.097
Nd: 0.343 0.903 0.903
Nd: 0.657 0.097 0.097
Nd: 0.903 0.343 0.903
Nd: 0.903 0.903 0.343
Sm: 0.082 0.356 0.356
Sm: 0.241 0.500 0.759
Sm: 0.241 0.759 0.500
Sm: 0.356 0.082 0.356
Sm: 0.356 0.356 0.082
Sm: 0.500 0.241 0.759
Sm: 0.500 0.759 0.241
Sm: 0.644 0.644 0.918
Sm: 0.644 0.918 0.644
Sm: 0.759 0.241 0.500
Sm: 0.759 0.500 0.241
Sm: 0.918 0.644 0.644

Summary:
Space-group type: R-3m, No. 166

---

## La4Nd2Sm (PBE-GGA)

Data for an optimized crystal structure of La4Nd2Sm.

Unit cell a=11.856 b=6.862 c=12.099 alpha=71.42 beta=33.27 gamma=75.31
Atoms (fractional coordinates):
La: 0.101 0.399 0.119
La: 0.131 0.869 0.149
La: 0.203 0.540 0.618
La: 0.399 0.101 0.381
La: 0.540 0.203 0.638
La: 0.612 0.632 0.710
La: 0.632 0.612 0.047
La: 0.869 0.131 0.851
Nd: 0.107 0.447 0.406
Nd: 0.210 0.844 0.803
Nd: 0.447 0.107 0.040
Nd: 0.844 0.210 0.143
Sm: 0.686 0.686 0.314
Sm: 0.936 0.936 0.564

Summary:
Space-group type: Fdd2, No. 43

---

## La4Nd2Sm3 (PBE-GGA)

Data for an optimized crystal structure of La4Nd2Sm3.

Unit cell a=6.385 b=6.385 c=11.080 alpha=106.44 beta=106.44 gamma=48.43
Atoms (fractional coordinates):
La: 0.000 0.000 0.167
La: 0.000 0.000 0.833
La: 0.333 0.333 0.611
La: 0.667 0.667 0.389
Nd: 0.331 0.331 0.276
Nd: 0.669 0.669 0.724
Sm: 0.000 0.000 0.500
Sm: 0.335 0.335 0.947
Sm: 0.665 0.665 0.053

Summary:
Space-group type: C2/m, No. 12

---

## La6Nd3Sm (PBE-GGA)

Data for an optimized crystal structure of La6Nd3Sm.

Unit cell a=7.044 b=7.044 c=8.946 alpha=104.69 beta=104.69 gamma=59.20
Atoms (fractional coordinates):
La: 0.021 0.465 0.676
La: 0.199 0.199 0.025
La: 0.465 0.021 0.676
La: 0.535 0.979 0.324
La: 0.801 0.801 0.975
La: 0.979 0.535 0.324
Nd: 0.023 0.023 0.316
Nd: 0.500 0.500 0.000
Nd: 0.977 0.977 0.684
Sm: 0.500 0.500 0.500

Summary:
Space-group type: C2/m, No. 12

---

## LaNd3Sm (PBE-GGA)

Data for an optimized crystal structure of LaNd3Sm.

Unit cell a=9.743 b=9.743 c=10.440 alpha=105.58 beta=105.58 gamma=21.80
Atoms (fractional coordinates):
La: 0.100 0.100 0.051
La: 0.900 0.900 0.949
Nd: 0.101 0.101 0.549
Nd: 0.299 0.299 0.152
Nd: 0.500 0.500 0.252
Nd: 0.500 0.500 0.748
Nd: 0.701 0.701 0.848
Nd: 0.899 0.899 0.451
Sm: 0.299 0.299 0.647
Sm: 0.701 0.701 0.353

Summary:
Space-group type: C2/m, No. 12

---

## La5Nd2Sm3 (PBE-GGA)

Data for an optimized crystal structure of La5Nd2Sm3.

Unit cell a=10.747 b=10.747 c=10.747 alpha=124.68 beta=75.65 gamma=132.75
Atoms (fractional coordinates):
La: 0.006 0.250 0.756
La: 0.131 0.094 0.225
La: 0.250 0.250 0.000
La: 0.369 0.594 0.964
La: 0.494 0.250 0.244
La: 0.506 0.750 0.756
La: 0.631 0.406 0.036
La: 0.750 0.750 0.000
La: 0.869 0.906 0.775
La: 0.994 0.750 0.244
Nd: 0.123 0.387 0.510
Nd: 0.377 0.887 0.264
Nd: 0.623 0.113 0.736
Nd: 0.877 0.613 0.490
Sm: 0.121 0.742 0.863
Sm: 0.250 0.750 0.500
Sm: 0.379 0.242 0.620
Sm: 0.621 0.758 0.380
Sm: 0.750 0.250 0.500
Sm: 0.879 0.258 0.137

Summary:
Space-group type: Ibam, No. 72

---

| no. | calculated volume (A^3/atom) | mass density (Mg/m³) | DFT formation energy (meV/atom) |
| --- | --- | --- | --- |
| 1 | 34.80 | 6.9 | 159 |
| 2 | 36.31 | 6.6 | 205 |
| 3 | 35.56 | 6.8 | 92 |
| 4 | 36.02 | 6.6 | 246 |
| 5 | 35.65 | 6.9 | 191 |
| 6 | 36.55 | 6.5 | 106 |
| 7 | 35.69 | 6.7 | 22 |
| 8 | 36.47 | 6.4 | 227 |
| 9 | 35.41 | 6.8 | 16 |
| 10 | 36.48 | 6.5 | 353 |